## TbTmInSn (PBE)

Data for an optimized crystal structure of TbTmInSn.

Cell lengths 7.5138, 7.5138, 7.5138 Å; angles 90.00, 90.00, 90.00 degrees
Space group F-43m (No. 216)
Asymmetric unit:
Tb1 0.0000 0.0000 0.0000
Tm1 0.0000 0.0000 0.5000
In1 0.2500 0.2500 0.2500
Sn1 0.2500 0.2500 0.7500

## Properties
Formation energy   -483.7 meV/atom